# Mo2HSe

A geometry-optimized Mo2HSe structure (PBE-GGA, Alexandria).

POSCAR file:
```
Mo2HSe
1.0
-2.395 2.395 5.174
2.395 -2.395 5.174
2.395 2.395 -5.174
Mo H Se
4 2 2
Cartesian
0.588 1.197 1.294
-1.197 1.807 3.881
-0.588 3.592 1.294
1.197 2.983 3.881
0.000 0.000 0.000
0.000 2.395 2.587
2.395 0.000 2.587
0.000 0.000 5.174
```

Properties
The crystal system is tetragonal. The space group is I-42d. As for the energy above the most stable polymorph in this dataset: 0.0000 eV/atom. The calculation puts the volume at 14.8 A^3/atom.